First-principles (PBE) data for a geometry-optimized BaLiPrS3 structure, as listed in OQMD.

Size of the total moment: 0.007 μB per cell
Distance to the lowest polymorph of the same formula: 0.0 meV per atom

a b c (Å): 10.817 4.200 13.536
angles (deg): 90.00 90.00 90.00
Positions (direct):
Ba  0.218  0.250  0.003
Ba  0.282  0.750  0.503
Ba  0.718  0.250  0.497
Ba  0.782  0.750  0.997
Li  0.234  0.750  0.776
Li  0.266  0.250  0.276
Li  0.734  0.750  0.724
Li  0.766  0.250  0.224
Pr  0.016  0.750  0.265
Pr  0.484  0.250  0.765
Pr  0.516  0.750  0.235
Pr  0.984  0.250  0.735
S  0.048  0.750  0.874
S  0.097  0.250  0.390
S  0.240  0.250  0.680
S  0.260  0.750  0.180
S  0.403  0.750  0.890
S  0.452  0.250  0.374
S  0.548  0.750  0.626
S  0.597  0.250  0.110
S  0.740  0.250  0.820
S  0.760  0.750  0.320
S  0.903  0.750  0.610
S  0.952  0.250  0.126